Entry P
KSr2Sb2 after structural relaxation. Source: Alexandria via LeMat-Bulk, functional PBE.

a b c (Å): 5.6208 5.6208 7.8746
angles (deg): 69.09 69.09 90.00
Closest atoms and distances in Å follow each position.
Fractional coordinates of all 5 atoms:
1 Sb 0.3831 0.3831 0.2338  1 Sb 3.18, 4 Sr 3.34
2 Sb 0.6169 0.6169 0.7662  1 Sb 3.18, 4 Sr 3.34
3 Sr 0.2500 0.7500 0.5000  4 Sb 3.34
4 Sr 0.7500 0.2500 0.5000  4 Sb 3.34
5 K 0.0000 0.0000 0.0000  8 Sb 4.28, 8 Sr 4.41

total magnetization	0.0	μB/f.u.
symmetry	I4/mmm, No. 139

=====

Entry Q
KSr2Sb2 after structural relaxation. Source: Alexandria via LeMat-Bulk, functional PBE.

a b c (Å): 9.7064 9.7064 3.9274
angles (deg): 90.00 90.00 90.00
Closest atoms and distances in Å follow each position.
Fractional coordinates of all 10 atoms:
1 Sr 0.1347 0.6347 0.5000  6 Sb 3.40-3.51, 1 Sr 3.70
2 Sb 0.3369 0.8369 0.0000  6 Sr 3.40-3.51, 2 K 3.63
3 K 0.5000 0.5000 0.0000  4 Sb 3.63, 2 K 3.93
4 Sr 0.3653 0.1347 0.5000  6 Sb 3.40-3.51, 1 Sr 3.70
5 Sr 0.6347 0.8653 0.5000  6 Sb 3.40-3.51, 1 Sr 3.70
6 Sr 0.8653 0.3653 0.5000  6 Sb 3.40-3.51, 1 Sr 3.70
7 K 0.0000 0.0000 0.0000  4 Sb 3.63, 2 K 3.93
8 Sb 0.1631 0.3369 0.0000  6 Sr 3.40-3.51, 2 K 3.63
9 Sb 0.8369 0.6631 0.0000  6 Sr 3.40-3.51, 2 K 3.63
10 Sb 0.6631 0.1631 0.0000  6 Sr 3.40-3.51, 2 K 3.63

total magnetization	0.0	μB/f.u.
symmetry	P4/mbm, No. 127

=====

Which of them is least stable? Easy: entry P.

=====

Entry P
KSr3Sb after structural relaxation. Source: Alexandria via LeMat-Bulk, functional PBE.

a b c (Å): 6.5141 6.5141 6.5141
angles (deg): 90.00 90.00 90.00
Closest atoms and distances in Å follow each position.
Fractional coordinates of all 5 atoms:
1 Sb 0.0000 0.0000 0.0000  6 Sr 3.26
2 Sr 0.5000 0.0000 0.0000  2 Sb 3.26
3 Sr 0.0000 0.5000 0.0000  2 Sb 3.26
4 Sr 0.0000 0.0000 0.5000  2 Sb 3.26
5 K 0.5000 0.5000 0.5000  12 Sr 4.61

total magnetization	1.2	μB/f.u.
symmetry	Pm-3m, No. 221

=====

Entry Q
KSr3Sb after structural relaxation. Source: Alexandria via LeMat-Bulk, functional PBE.

a b c (Å): 6.3626 6.3626 6.3626
angles (deg): 90.00 90.00 90.00
Closest atoms and distances in Å follow each position.
Fractional coordinates of all 5 atoms:
1 Sr 0.5000 0.0000 0.0000  2 K 3.18
2 K 0.0000 0.0000 0.0000  6 Sr 3.18
3 Sr 0.0000 0.0000 0.5000  2 K 3.18
4 Sr 0.0000 0.5000 0.0000  2 K 3.18
5 Sb 0.5000 0.5000 0.5000  12 Sr 4.50

total magnetization	1.8	μB/f.u.
symmetry	Pm-3m, No. 221

=====

Which of them is least stable? Easy: entry Q.

=====

Entry P
KTaSb3 after structural relaxation. Source: Alexandria via LeMat-Bulk, functional PBE.

a b c (Å): 5.4730 5.4730 5.4730
angles (deg): 90.00 90.00 90.00
Closest atoms and distances in Å follow each position.
Fractional coordinates of all 5 atoms:
1 Sb 0.0000 0.5000 0.0000  2 K 2.74
2 K 0.0000 0.0000 0.0000  6 Sb 2.74
3 Ta 0.5000 0.5000 0.5000  12 Sb 3.87
4 Sb 0.5000 0.0000 0.0000  2 K 2.74
5 Sb 0.0000 0.0000 0.5000  2 K 2.74

total magnetization	0.0	μB/f.u.
symmetry	Pm-3m, No. 221

=====

Entry Q
KTaSb3 after structural relaxation. Source: Alexandria via LeMat-Bulk, functional PBE.

a b c (Å): 5.4545 5.4545 5.4545
angles (deg): 90.00 90.00 90.00
Closest atoms and distances in Å follow each position.
Fractional coordinates of all 5 atoms:
1 Sb 0.5000 0.0000 0.0000  2 Ta 2.73
2 Sb 0.0000 0.0000 0.5000  2 Ta 2.73
3 Sb 0.0000 0.5000 0.0000  2 Ta 2.73
4 Ta 0.0000 0.0000 0.0000  6 Sb 2.73
5 K 0.5000 0.5000 0.5000  12 Sb 3.86

total magnetization	0.0	μB/f.u.
symmetry	Pm-3m, No. 221

=====

Which of them is least stable? Easy: entry P.